1.
The following is a DFT calculation (PBE) of a geometry-optimized DyTmMgCu structure.

a = 5.0898 Å, b = 5.0898 Å, c = 5.0898 Å
α = 60.00°, β = 60.00°, γ = 60.00°
Fractional positions:
1 Dy 0.0000 0.0000 0.0000
2 Tm 0.5000 0.5000 0.5000
3 Mg 0.7500 0.7500 0.7500
4 Cu 0.2500 0.2500 0.2500

Results
As for the volume: 23.31 A^3/atom. The total moment comes out at 0.0 μB per formula unit. The total energy is -3.76 eV/atom. The space-group type is F-43m. The value obtained for the energy of formation from the pure elements is -0.066 eV per atom. For the energy above the most stable polymorph in this dataset, the calculation gives 89 meV per atom.



2.
The following is a DFT calculation (PBE) of a geometry-optimized Tm3Hg2Ir structure.

a = 5.0075 Å, b = 7.3205 Å, c = 7.8851 Å
α = 90.00°, β = 108.40°, γ = 90.00°
Fractional positions:
1 Tm 0.0000 0.2350 0.0000
2 Tm 0.0000 0.7650 0.0000
3 Tm 0.3262 0.2258 0.6525
4 Tm 0.3262 0.7742 0.6525
5 Tm 0.6738 0.2258 0.3475
6 Tm 0.6738 0.7742 0.3475
7 Hg 0.1641 0.5000 0.3299
8 Hg 0.5000 0.0000 0.0000
9 Hg 0.5000 0.5000 0.0000
10 Hg 0.8359 0.5000 0.6701
11 Ir 0.1623 0.0000 0.3241
12 Ir 0.8377 0.0000 0.6759

Results
As for the volume: 22.86 A^3/atom. The total moment comes out at 0.0 μB per formula unit. The total energy is -4.46 eV/atom. The space-group type is P2/m. The value obtained for the energy of formation from the pure elements is -0.649 eV per atom. For the energy above the most stable polymorph in this dataset, the calculation gives 0 meV per atom.



3.
The following is a DFT calculation (PBE) of a geometry-optimized HoInO2 structure.

a = 7.0783 Å, b = 7.0783 Å, c = 7.0783 Å
α = 28.08°, β = 28.08°, γ = 28.08°
Fractional positions:
1 Ho 0.0000 0.0000 0.0000
2 In 0.5000 0.5000 0.5000
3 O 0.3877 0.3877 0.3877
4 O 0.6123 0.6123 0.6123

Results
As for the volume: 17.35 A^3/atom. The total moment comes out at 0.0 μB per formula unit. The total energy is -6.72 eV/atom. The space-group type is R-3m. The uncorrected formation energy comes out at -2.416 eV per atom.



> Which value of volume does entry 2 give?

22.86 A^3/atom



> Look up the volume of the third one.

17.35 A^3/atom